[1]
# LiBi2Pd7

An optimized crystal structure of LiBi2Pd7 (GGA-PBE, Alexandria).

a b c (Å): 7.522 16.688 3.067
angles (deg): 90.00 90.00 90.00
Space group Cmmm (No. 65)
Asymmetric unit:
Li 0.000 0.000 0.000 [2 per cell]
Bi 0.000 0.329 0.500 [4 per cell]
Pd 0.000 0.192 0.000 [4 per cell]
Pd 0.000 0.500 0.500 [2 per cell]
Pd 0.191 0.086 0.500 [8 per cell]

Computed properties:
VASP energy: -92.16 eV for the cell shown
calculated formation energy: -0.006 eV per atom
total moment: 0.000 μB per cell

[2]
# Li2Bi2Pd7

An optimized crystal structure of Li2Bi2Pd7 (GGA-PBE, Alexandria).

a b c (Å): 10.635 8.369 4.548
angles (deg): 90.00 99.56 90.00
Space group C2/m (No. 12)
Asymmetric unit:
Li 0.235 0.000 0.290 [4 per cell]
Bi 0.000 0.279 0.500 [4 per cell]
Pd 0.000 0.500 0.000 [2 per cell]
Pd 0.077 0.000 0.795 [4 per cell]
Pd 0.206 0.323 0.222 [8 per cell]

Computed properties:
VASP energy: -100.18 eV for the cell shown
calculated formation energy: -0.196 eV per atom
total moment: 0.000 μB per cell

[3]
# Li3BiPd6

An optimized crystal structure of Li3BiPd6 (GGA-PBE, Alexandria).

a b c (Å): 6.820 6.678 9.155
angles (deg): 90.00 129.53 90.00
Space group P2_1/c (No. 14)
Asymmetric unit:
Li 0.000 0.000 0.000 [2 per cell]
Li 0.249 0.152 0.560 [4 per cell]
Bi 0.500 0.000 0.000 [2 per cell]
Pd 0.010 0.620 0.801 [4 per cell]
Pd 0.259 0.715 0.182 [4 per cell]
Pd 0.384 0.111 0.344 [4 per cell]

Computed properties:
VASP energy: -86.76 eV for the cell shown
calculated formation energy: -0.260 eV per atom
total moment: 0.000 μB per cell

[4]
# Li8Bi2Pd

An optimized crystal structure of Li8Bi2Pd (GGA-PBE, Alexandria).

a b c (Å): 4.716 6.365 13.880
angles (deg): 90.00 90.00 90.00
Space group Immm (No. 71)
Asymmetric unit:
Li 0.000 0.000 0.181 [4 per cell]
Li 0.000 0.243 0.356 [8 per cell]
Li 0.000 0.250 0.000 [4 per cell]
Bi 0.000 0.500 0.176 [4 per cell]
Pd 0.000 0.500 0.500 [2 per cell]

Computed properties:
VASP energy: -65.92 eV for the cell shown
calculated formation energy: -0.427 eV per atom
total moment: 0.000 μB per cell

[5]
# LiBi12Pd7

An optimized crystal structure of LiBi12Pd7 (GGA-PBE, Alexandria).

a b c (Å): 14.3727 14.3727 8.5017
angles (deg): 90.00 90.00 120.00
Space group R-3 (No. 148, hexagonal axes)
Asymmetric unit:
Li 0.0000 0.0000 0.0000 [3 per cell]
Bi 0.0442 0.2177 0.4045 [18 per cell]
Bi 0.0499 0.8036 0.9767 [18 per cell]
Pd 0.0000 0.0000 0.5000 [3 per cell]
Pd 0.0291 0.1410 0.7566 [18 per cell]

Computed properties:
VASP energy: -265.80 eV for the cell shown
calculated formation energy: -0.188 eV per atom
total moment: 0.000 μB per cell

[6]
# LiBi2Pd2

An optimized crystal structure of LiBi2Pd2 (GGA-PBE, Alexandria).

a b c (Å): 4.573 4.573 12.161
angles (deg): 90.00 90.00 90.00
Space group I4/mmm (No. 139)
Asymmetric unit:
Li 0.000 0.000 0.000 [2 per cell]
Bi 0.000 0.000 0.373 [4 per cell]
Pd 0.000 0.500 0.250 [4 per cell]

Computed properties:
VASP energy: -41.78 eV for the cell shown
calculated formation energy: -0.166 eV per atom
total moment: 0.000 μB per cell

[7]
# LiBi7Pd4

An optimized crystal structure of LiBi7Pd4 (GGA-PBE, Alexandria).

a b c (Å): 14.403 5.114 10.627
angles (deg): 90.00 129.66 90.00
Space group C2/m (No. 12)
Asymmetric unit:
Li 0.000 0.000 0.000 [2 per cell]
Bi 0.000 0.500 0.000 [2 per cell]
Bi 0.076 0.000 0.321 [4 per cell]
Bi 0.149 0.500 0.583 [4 per cell]
Bi 0.218 0.000 0.868 [4 per cell]
Pd 0.070 0.500 0.776 [4 per cell]
Pd 0.217 0.500 0.344 [4 per cell]

Computed properties:
VASP energy: -104.08 eV for the cell shown
calculated formation energy: -0.182 eV per atom
total moment: 0.000 μB per cell

[8]
# Li6BiPd2

An optimized crystal structure of Li6BiPd2 (GGA-PBE, Alexandria).

a b c (Å): 7.7298 7.7298 8.3151
angles (deg): 90.00 90.00 120.00
Space group R-3m (No. 166, hexagonal axes)
Asymmetric unit:
Li 0.0000 0.3257 0.0000 [18 per cell]
Bi 0.0000 0.0000 0.5000 [3 per cell]
Pd 0.0000 0.0000 0.1602 [6 per cell]

Computed properties:
VASP energy: -88.25 eV for the cell shown
calculated formation energy: -0.407 eV per atom
total moment: 0.000 μB per cell

[9]
# LiBi3Pd

An optimized crystal structure of LiBi3Pd (GGA-PBE, Alexandria).

a b c (Å): 5.068 5.068 5.068
angles (deg): 90.00 90.00 90.00
Space group Pm-3m (No. 221)
Asymmetric unit:
Li 0.000 0.000 0.000 [1 per cell]
Bi 0.000 0.000 0.500 [3 per cell]
Pd 0.500 0.500 0.500 [1 per cell]

Computed properties:
VASP energy: -17.09 eV for the cell shown
calculated formation energy: 0.332 eV per atom
total moment: 0.000 μB per cell

[10]
# Li3Bi2Pd2

An optimized crystal structure of Li3Bi2Pd2 (GGA-PBE, Alexandria).

a b c (Å): 4.717 4.723 7.334
angles (deg): 107.54 90.85 119.85
Space group P-1 (No. 2)
Asymmetric unit:
Li 0.000 0.000 0.000 [1 per cell]
Li 0.140 0.283 0.421 [2 per cell]
Bi 0.414 0.835 0.243 [2 per cell]
Pd 0.273 0.535 0.815 [2 per cell]

Computed properties:
VASP energy: -27.32 eV for the cell shown
calculated formation energy: -0.490 eV per atom
total moment: 0.000 μB per cell

[11]
# Li2BiPd6

An optimized crystal structure of Li2BiPd6 (GGA-PBE, Alexandria).

a b c (Å): 8.704 4.117 8.315
angles (deg): 90.00 106.53 90.00
Space group C2/m (No. 12)
Asymmetric unit:
Li 0.189 0.000 0.248 [4 per cell]
Bi 0.000 0.500 0.000 [2 per cell]
Pd 0.007 0.500 0.336 [4 per cell]
Pd 0.160 0.000 0.884 [4 per cell]
Pd 0.163 0.000 0.549 [4 per cell]

Computed properties:
VASP energy: -83.70 eV for the cell shown
calculated formation energy: -0.332 eV per atom
total moment: 0.000 μB per cell